# RbOsSe3 | Alexandria via LeMat-Bulk | GGA-PBE | relaxed
data_RbOsSe3
_space_group_name_H-M_alt 'P m -3 m'
_space_group_IT_number 221
_space_group_name_Hall '-P 4 2 3'
_cell_length_a 5.0543
_cell_length_b 5.0543
_cell_length_c 5.0543
_cell_angle_alpha 90.00
_cell_angle_beta 90.00
_cell_angle_gamma 90.00
loop_
_atom_site_label
_atom_site_fract_x
_atom_site_fract_y
_atom_site_fract_z
_atom_site_occupancy
Rb1 0.0000 0.0000 0.0000 1
Os1 0.5000 0.5000 0.5000 1
Se1 0.0000 0.5000 0.5000 1
# Total magnetic moment ... 1.92 Bohr magnetons per cell
# Formation energy (no corrections) ... 0.055 eV/atom


# Mn5Ru4 | Alexandria via LeMat-Bulk | GGA-PBE | relaxed
data_Mn5Ru4
_space_group_name_H-M_alt 'P 63/m c m'
_space_group_IT_number 193
_space_group_name_Hall '-P 6c 2'
_cell_length_a 7.2338
_cell_length_b 7.2338
_cell_length_c 5.1862
_cell_angle_alpha 90.00
_cell_angle_beta 90.00
_cell_angle_gamma 120.00
loop_
_atom_site_label
_atom_site_fract_x
_atom_site_fract_y
_atom_site_fract_z
_atom_site_occupancy
Mn1 0.0000 0.3240 0.2500 1
Mn2 0.3333 0.6667 0.0000 1
Ru1 0.0000 0.0000 0.0000 1
Ru2 0.0000 0.3463 0.7500 1
# Total magnetic moment ... 2.77 Bohr magnetons per cell
# Formation energy from the elements ... 99 meV per atom


# Pr4Sm5Sc | Alexandria via LeMat-Bulk | GGA-PBE | relaxed
data_Pr4Sm5Sc
_space_group_name_H-M_alt 'I 4 m m'
_space_group_IT_number 107
_space_group_name_Hall 'I 4 -2'
_cell_length_a 10.6270
_cell_length_b 10.6270
_cell_length_c 6.1031
_cell_angle_alpha 90.00
_cell_angle_beta 90.00
_cell_angle_gamma 90.00
loop_
_atom_site_label
_atom_site_fract_x
_atom_site_fract_y
_atom_site_fract_z
_atom_site_occupancy
Pr1 0.0000 0.3222 0.0000 1
Sm1 0.0000 0.0000 0.2459 1
Sm2 0.1853 0.1853 0.5379 1
Sc1 0.0000 0.0000 0.7799 1
# Total magnetic moment ... 0.00 Bohr magnetons per cell
# Formation energy from the elements ... 197 meV per atom


# SiHPt3 | Alexandria via LeMat-Bulk | GGA-PBE | relaxed
data_SiHPt3
_space_group_name_H-M_alt 'P m -3 m'
_space_group_IT_number 221
_space_group_name_Hall '-P 4 2 3'
_cell_length_a 3.9985
_cell_length_b 3.9985
_cell_length_c 3.9985
_cell_angle_alpha 90.00
_cell_angle_beta 90.00
_cell_angle_gamma 90.00
loop_
_atom_site_label
_atom_site_fract_x
_atom_site_fract_y
_atom_site_fract_z
_atom_site_occupancy
Si1 0.0000 0.0000 0.0000 1
H1 0.5000 0.5000 0.5000 1
Pt1 0.0000 0.5000 0.5000 1
# Total magnetic moment ... 0.00 Bohr magnetons per cell
# VASP energy ... -5.381 eV per atom


# InAgAsN2 | Alexandria via LeMat-Bulk | GGA-PBE | relaxed
data_InAgAsN2
_space_group_name_H-M_alt 'P 4/m m m'
_space_group_IT_number 123
_space_group_name_Hall '-P 4 2'
_cell_length_a 4.1139
_cell_length_b 4.1139
_cell_length_c 5.8501
_cell_angle_alpha 90.00
_cell_angle_beta 90.00
_cell_angle_gamma 90.00
loop_
_atom_site_label
_atom_site_fract_x
_atom_site_fract_y
_atom_site_fract_z
_atom_site_occupancy
In1 0.0000 0.0000 0.0000 1
Ag1 0.0000 0.0000 0.5000 1
As1 0.5000 0.5000 0.0000 1
N1 0.0000 0.5000 0.5000 1
# Total magnetic moment ... 2.50 Bohr magnetons per cell
# Formation energy (no corrections) ... 1.758 eV/atom


# K2Hg2Au | Alexandria via LeMat-Bulk | GGA-PBE | relaxed
data_K2Hg2Au
_space_group_name_H-M_alt 'P 4/m b m'
_space_group_IT_number 127
_space_group_name_Hall '-P 4 2ab'
_cell_length_a 8.8114
_cell_length_b 8.8114
_cell_length_c 5.0892
_cell_angle_alpha 90.00
_cell_angle_beta 90.00
_cell_angle_gamma 90.00
loop_
_atom_site_label
_atom_site_fract_x
_atom_site_fract_y
_atom_site_fract_z
_atom_site_occupancy
K1 0.1739 0.3261 0.0000 1
Hg1 0.1284 0.6284 0.5000 1
Au1 0.0000 0.0000 0.0000 1
# Total magnetic moment ... 0.00 Bohr magnetons per cell
# Formation energy from the elements ... -105 meV per atom


Q: What is the formula in the second record?
A: Mn5Ru4


Q: Which value of total magnetic moment does entry 3 give?
A: 0.00 Bohr magnetons per cell


Q: What is the total magnetic moment in the fourth record?
A: 0.00 Bohr magnetons per cell